[1]
BeCo2Ni: relaxed, PBEsol.

abc: 2.4889 2.4889 6.0941
angles: 90.00 90.00 90.00
Closest atoms and distances in Å follow each position.
Fractional positions:
Be1 0.0000 0.0000 0.0000  4 Ni 2.23, 4 Co 2.24, 4 Be 2.49
Co1 0.0000 0.0000 0.4918  8 Co 2.39-2.49, 4 Ni 2.47
Co2 0.5000 0.5000 0.2268  4 Be 2.24, 8 Co 2.39-2.49
Ni1 0.5000 0.5000 0.7764  4 Be 2.23, 4 Co 2.47, 4 Ni 2.49

Computed properties:
Energy relative to the elements = -172 meV per atom

[2]
Be3CoNi: relaxed, PBEsol.

abc: 3.7833 3.7833 3.7833
angles: 90.00 90.00 90.00
Closest atoms and distances in Å follow each position.
Fractional positions:
Be1 0.0000 0.0000 0.5000  2 Ni 1.89
Be2 0.0000 0.5000 0.0000  2 Ni 1.89
Be3 0.5000 0.0000 0.0000  2 Ni 1.89
Co1 0.5000 0.5000 0.5000  12 Be 2.68
Ni1 0.0000 0.0000 0.0000  6 Be 1.89

Computed properties:
Energy relative to the elements = 631 meV per atom

[3]
Be2CoNi: relaxed, PBEsol.

abc: 2.5877 2.5877 5.2067
angles: 90.00 90.00 90.00
Closest atoms and distances in Å follow each position.
Fractional positions:
Be1 0.0000 0.0000 0.0000  4 Be 2.19, 4 Ni 2.20, 1 Co 2.38
Be2 0.5000 0.5000 0.2310  4 Co 2.18, 4 Be 2.19, 1 Ni 2.43
Co1 0.0000 0.0000 0.4571  5 Be 2.18-2.38, 4 Ni 2.43
Ni1 0.5000 0.5000 0.7647  5 Be 2.20-2.43, 4 Co 2.43

Computed properties:
Energy relative to the elements = -199 meV per atom
Energy above the most stable polymorph in this dataset = 0.946 eV/f.u.

[4]
Be2CoNi: relaxed, PBEsol.

abc: 4.2489 4.2489 4.2489
angles: 136.72 136.72 62.87
Closest atoms and distances in Å follow each position.
Fractional positions:
Be1 0.0000 0.0000 0.0000  4 Co 2.22, 4 Be 2.40, 4 Ni 2.40
Be2 0.7500 0.2500 0.5000  4 Ni 2.22, 4 Co 2.40, 4 Be 2.40
Co1 0.5000 0.5000 0.0000  8 Be 2.22-2.40, 4 Ni 2.40
Ni1 0.2500 0.7500 0.5000  8 Be 2.22-2.40, 4 Co 2.40

Computed properties:
Energy relative to the elements = -189 meV per atom
Energy above the most stable polymorph in this dataset = 0.988 eV/f.u.

[5]
Be2CoNi: relaxed, PBEsol.

abc: 3.6340 3.6340 3.6340
angles: 60.00 60.00 60.00
Closest atoms and distances in Å follow each position.
Fractional positions:
Be1 0.2500 0.2500 0.2500  4 Ni 2.23, 4 Co 2.23
Be2 0.7500 0.7500 0.7500  4 Ni 2.23, 4 Co 2.23
Co1 0.0000 0.0000 0.0000  8 Be 2.23
Ni1 0.5000 0.5000 0.5000  8 Be 2.23

Computed properties:
Energy relative to the elements = -436 meV per atom
Energy above the most stable polymorph in this dataset = 0.000 eV/f.u.

[6]
BeCoO2: relaxed, PBEsol.

abc: 5.4170 5.4170 5.4170
angles: 32.32 32.32 32.32
Closest atoms and distances in Å follow each position.
Fractional positions:
Be1 0.0000 0.0000 0.0000  2 O 1.44
Co1 0.5000 0.5000 0.5000  6 O 2.07
O1 0.0938 0.0938 0.0938  1 Be 1.44
O2 0.9062 0.9062 0.9062  1 Be 1.44

Computed properties:
Energy relative to the elements, uncorrected = -1.19 eV per atom

no.,E_tot (eV/atom)
1,-6.5796
2,-4.5479
3,-5.6729
4,-5.6623
5,-5.9094
6,-6.7490